Arrangement a

# CeNd2Zn (GGA-PBE, relaxed)
# D(E_F) (states/eV per atom): 2.016
# Size of the total moment (μB/f.u.): 2.08
data_CeNd2Zn
_cell_length_a 7.581
_cell_length_b 7.581
_cell_length_c 7.581
_cell_angle_alpha 90.00
_cell_angle_beta 90.00
_cell_angle_gamma 90.00
_space_group_name_H-M_alt 'F m -3 m'
_space_group_IT_number 225
_space_group_name_Hall '-F 4 2 3'
loop_
_atom_site_label
_atom_site_fract_x
_atom_site_fract_y
_atom_site_fract_z
_atom_site_occupancy
Ce1 0.000 0.000 0.000 1
Nd1 0.250 0.250 0.250 1
Zn1 0.000 0.000 0.500 1

Arrangement b

# CeNd2Zn (GGA-PBE, relaxed)
# D(E_F) (states/eV per atom): 2.186
# Size of the total moment (μB/f.u.): 0.81
data_CeNd2Zn
_cell_length_a 4.882
_cell_length_b 4.882
_cell_length_c 4.677
_cell_angle_alpha 90.00
_cell_angle_beta 90.00
_cell_angle_gamma 90.00
_space_group_name_H-M_alt 'P 4/m m m'
_space_group_IT_number 123
_space_group_name_Hall '-P 4 2'
loop_
_atom_site_label
_atom_site_fract_x
_atom_site_fract_y
_atom_site_fract_z
_atom_site_occupancy
Ce1 0.000 0.000 0.000 1
Nd1 0.000 0.500 0.500 1
Zn1 0.500 0.500 0.000 1

Arrangement c

# CeNd2Zn (GGA-PBE, relaxed)
# D(E_F) (states/eV per atom): 1.731
# Size of the total moment (μB/f.u.): 1.19
data_CeNd2Zn
_cell_length_a 3.6112
_cell_length_b 3.6112
_cell_length_c 31.8942
_cell_angle_alpha 90.00
_cell_angle_beta 90.00
_cell_angle_gamma 120.00
_space_group_name_H-M_alt 'R 3 m'
_space_group_IT_number 160
_space_group_name_Hall 'R 3 -2"'
loop_
_atom_site_label
_atom_site_fract_x
_atom_site_fract_y
_atom_site_fract_z
_atom_site_occupancy
Ce1 0.0000 0.0000 0.0000 1
Nd1 0.0000 0.0000 0.5735 1
Nd2 0.0000 0.0000 0.7606 1
Zn1 0.0000 0.0000 0.1668 1

Arrangement d

# CeNd2Zn (GGA-PBE, relaxed)
# D(E_F) (states/eV per atom): 1.591
# Size of the total moment (μB/f.u.): 0.55
data_CeNd2Zn
_cell_length_a 3.634
_cell_length_b 3.634
_cell_length_c 8.600
_cell_angle_alpha 90.00
_cell_angle_beta 90.00
_cell_angle_gamma 90.00
_space_group_name_H-M_alt 'P 4/m m m'
_space_group_IT_number 123
_space_group_name_Hall '-P 4 2'
loop_
_atom_site_label
_atom_site_fract_x
_atom_site_fract_y
_atom_site_fract_z
_atom_site_occupancy
Ce1 0.000 0.000 0.000 1
Nd1 0.500 0.500 0.283 1
Zn1 0.000 0.000 0.500 1

The most stable arrangement is arrangement d, and the next structure is 0.101 eV/atom less stable.

Arrangement a

# CeNd3Zn8 (GGA-PBE, relaxed)
# D(E_F) (states/eV per atom): 0.882
# Size of the total moment (μB/f.u.): 0.84
data_CeNd3Zn8
_cell_length_a 5.6588
_cell_length_b 5.6588
_cell_length_c 8.7647
_cell_angle_alpha 90.00
_cell_angle_beta 90.00
_cell_angle_gamma 120.00
_space_group_name_H-M_alt 'P 3 m 1'
_space_group_IT_number 156
loop_
_space_group_symop_operation_xyz
'x,y,z'
'-y,x-y,z'
'-x+y,-x,z'
'-y,-x,z'
'-x+y,y,z'
'x,x-y,z'
loop_
_atom_site_label
_atom_site_fract_x
_atom_site_fract_y
_atom_site_fract_z
_atom_site_occupancy
Ce1 0.0000 0.0000 0.0000 1
Nd1 0.0000 0.0000 0.3739 1
Nd2 0.6667 0.3333 0.4958 1
Nd3 0.6667 0.3333 0.8839 1
Zn1 0.0023 0.5012 0.1893 1
Zn2 0.1654 0.3309 0.6897 1
Zn3 0.3333 0.6667 0.4409 1
Zn4 0.3333 0.6667 0.9386 1

Arrangement b

# CeNd3Zn8 (GGA-PBE, relaxed)
# D(E_F) (states/eV per atom): 0.685
# Size of the total moment (μB/f.u.): 0.24
data_CeNd3Zn8
_cell_length_a 5.5594
_cell_length_b 5.5594
_cell_length_c 27.2195
_cell_angle_alpha 90.00
_cell_angle_beta 90.00
_cell_angle_gamma 120.00
_space_group_name_H-M_alt 'R 3 m'
_space_group_IT_number 160
_space_group_name_Hall 'R 3 -2"'
loop_
_atom_site_label
_atom_site_fract_x
_atom_site_fract_y
_atom_site_fract_z
_atom_site_occupancy
Ce1 0.0000 0.0000 0.0000 1
Nd1 0.0000 0.0000 0.3734 1
Nd2 0.0000 0.0000 0.4997 1
Nd3 0.0000 0.0000 0.8763 1
Zn1 0.0000 0.0000 0.1874 1
Zn2 0.0000 0.0000 0.6875 1
Zn3 0.0000 0.5000 0.9375 1
Zn4 0.0011 0.5005 0.4371 1

The most stable arrangement is arrangement b, and the next structure is 0.020 eV/atom less stable.

Arrangement a

# CeNdZn (GGA-PBE, relaxed)
# D(E_F) (states/eV per atom): 2.016
# Size of the total moment (μB/f.u.): 0.70
data_CeNdZn
_cell_length_a 3.572
_cell_length_b 16.754
_cell_length_c 5.318
_cell_angle_alpha 90.00
_cell_angle_beta 90.00
_cell_angle_gamma 90.00
_space_group_name_H-M_alt 'C m c m'
_space_group_IT_number 63
_space_group_name_Hall '-C 2c 2'
loop_
_atom_site_label
_atom_site_fract_x
_atom_site_fract_y
_atom_site_fract_z
_atom_site_occupancy
Ce1 0.000 0.234 0.250 1
Nd1 0.000 0.075 0.750 1
Zn1 0.000 0.416 0.750 1

Arrangement b

# CeNdZn (GGA-PBE, relaxed)
# D(E_F) (states/eV per atom): 1.967
# Size of the total moment (μB/f.u.): 1.27
data_CeNdZn
_cell_length_a 3.669
_cell_length_b 3.669
_cell_length_c 12.291
_cell_angle_alpha 90.00
_cell_angle_beta 90.00
_cell_angle_gamma 90.00
_space_group_name_H-M_alt 'I 4 m m'
_space_group_IT_number 107
_space_group_name_Hall 'I 4 -2'
loop_
_atom_site_label
_atom_site_fract_x
_atom_site_fract_y
_atom_site_fract_z
_atom_site_occupancy
Ce1 0.000 0.000 0.000 1
Nd1 0.000 0.000 0.709 1
Zn1 0.000 0.000 0.356 1

Arrangement c

# CeNdZn (GGA-PBE, relaxed)
# D(E_F) (states/eV per atom): 1.501
# Size of the total moment (μB/f.u.): 0.39
data_CeNdZn
_cell_length_a 4.9355
_cell_length_b 4.9355
_cell_length_c 3.6249
_cell_angle_alpha 90.00
_cell_angle_beta 90.00
_cell_angle_gamma 120.00
_space_group_name_H-M_alt 'P 3 m 1'
_space_group_IT_number 156
loop_
_space_group_symop_operation_xyz
'x,y,z'
'-y,x-y,z'
'-x+y,-x,z'
'-y,-x,z'
'-x+y,y,z'
'x,x-y,z'
loop_
_atom_site_label
_atom_site_fract_x
_atom_site_fract_y
_atom_site_fract_z
_atom_site_occupancy
Ce1 0.0000 0.0000 0.0000 1
Nd1 0.6667 0.3333 0.3627 1
Zn1 0.3333 0.6667 0.6722 1

The most stable arrangement is arrangement a, and the next structure is 0.023 eV/atom less stable.

Arrangement a

# CeNd2Zr (GGA-PBE, relaxed)
# D(E_F) (states/eV per atom): 2.557
# Size of the total moment (μB/f.u.): 0.91
data_CeNd2Zr
_cell_length_a 4.078
_cell_length_b 4.078
_cell_length_c 7.285
_cell_angle_alpha 90.00
_cell_angle_beta 90.00
_cell_angle_gamma 90.00
_space_group_name_H-M_alt 'P 4/m m m'
_space_group_IT_number 123
_space_group_name_Hall '-P 4 2'
loop_
_atom_site_label
_atom_site_fract_x
_atom_site_fract_y
_atom_site_fract_z
_atom_site_occupancy
Ce1 0.000 0.000 0.000 1
Nd1 0.500 0.500 0.274 1
Zr1 0.000 0.000 0.500 1

Arrangement b

# CeNd2Zr (GGA-PBE, relaxed)
# D(E_F) (states/eV per atom): 1.908
# Size of the total moment (μB/f.u.): 1.02
data_CeNd2Zr
_cell_length_a 3.4660
_cell_length_b 3.4660
_cell_length_c 34.5698
_cell_angle_alpha 90.00
_cell_angle_beta 90.00
_cell_angle_gamma 120.00
_space_group_name_H-M_alt 'R 3 m'
_space_group_IT_number 160
_space_group_name_Hall 'R 3 -2"'
loop_
_atom_site_label
_atom_site_fract_x
_atom_site_fract_y
_atom_site_fract_z
_atom_site_occupancy
Ce1 0.0000 0.0000 0.0000 1
Nd1 0.0000 0.0000 0.5792 1
Nd2 0.0000 0.0000 0.7551 1
Zr1 0.0000 0.0000 0.1676 1

Arrangement c

# CeNd2Zr (GGA-PBE, relaxed)
# D(E_F) (states/eV per atom): 1.705
# Size of the total moment (μB/f.u.): 0.31
data_CeNd2Zr
_cell_length_a 3.3850
_cell_length_b 3.3850
_cell_length_c 36.1897
_cell_angle_alpha 90.00
_cell_angle_beta 90.00
_cell_angle_gamma 120.00
_space_group_name_H-M_alt 'R -3 m'
_space_group_IT_number 166
_space_group_name_Hall '-R 3 2"'
loop_
_atom_site_label
_atom_site_fract_x
_atom_site_fract_y
_atom_site_fract_z
_atom_site_occupancy
Ce1 0.0000 0.0000 0.0000 1
Nd1 0.0000 0.0000 0.4134 1
Zr1 0.0000 0.0000 0.5000 1

The most stable arrangement is arrangement b, and the next structure is 0.085 eV/atom less stable.

Arrangement a

# CeNdZr (GGA-PBE, relaxed)
# D(E_F) (states/eV per atom): 1.719
# Size of the total moment (μB/f.u.): 0.00
data_CeNdZr
_cell_length_a 3.4012
_cell_length_b 3.4012
_cell_length_c 8.3890
_cell_angle_alpha 90.00
_cell_angle_beta 90.00
_cell_angle_gamma 120.00
_space_group_name_H-M_alt 'P 3 m 1'
_space_group_IT_number 156
loop_
_space_group_symop_operation_xyz
'x,y,z'
'-y,x-y,z'
'-x+y,-x,z'
'-y,-x,z'
'-x+y,y,z'
'x,x-y,z'
loop_
_atom_site_label
_atom_site_fract_x
_atom_site_fract_y
_atom_site_fract_z
_atom_site_occupancy
Ce1 0.0000 0.0000 0.0000 1
Nd1 0.6667 0.3333 0.3520 1
Zr1 0.3333 0.6667 0.6885 1

Arrangement b

# CeNdZr (GGA-PBE, relaxed)
# D(E_F) (states/eV per atom): 2.141
# Size of the total moment (μB/f.u.): 0.24
data_CeNdZr
_cell_length_a 3.874
_cell_length_b 3.874
_cell_length_c 11.455
_cell_angle_alpha 90.00
_cell_angle_beta 90.00
_cell_angle_gamma 90.00
_space_group_name_H-M_alt 'P 4/n m m'
_space_group_IT_number 129
loop_
_space_group_symop_operation_xyz
'x,y,z'
'-x,-y,-z'
'-y+1/2,x,z'
'y+1/2,-x,-z'
'-x+1/2,-y+1/2,z'
'x+1/2,y+1/2,-z'
'y,-x+1/2,z'
'-y,x+1/2,-z'
'x+1/2,-y,-z'
'-x+1/2,y,z'
'-y,-x,-z'
'y,x,z'
'-x,y+1/2,-z'
'x,-y+1/2,z'
'y+1/2,x+1/2,-z'
'-y+1/2,-x+1/2,z'
loop_
_atom_site_label
_atom_site_fract_x
_atom_site_fract_y
_atom_site_fract_z
_atom_site_occupancy
Ce1 0.250 0.250 0.052 1
Nd1 0.250 0.250 0.730 1
Zr1 0.250 0.250 0.444 1

The most stable arrangement is arrangement a, and the next structure is 0.033 eV/atom less stable.

Arrangement a

# CeNi3P3 (GGA-PBE, relaxed)
# D(E_F) (states/eV per atom): 0.798
# Size of the total moment (μB/f.u.): 0.00
data_CeNi3P3
_cell_length_a 6.4102
_cell_length_b 6.4102
_cell_length_c 19.8538
_cell_angle_alpha 90.00
_cell_angle_beta 90.00
_cell_angle_gamma 120.00
_space_group_name_H-M_alt 'R -3'
_space_group_IT_number 148
_space_group_name_Hall '-R 3'
loop_
_atom_site_label
_atom_site_fract_x
_atom_site_fract_y
_atom_site_fract_z
_atom_site_occupancy
Ce1 0.0000 0.0000 0.1670 1
Ni1 0.0014 0.3371 0.3727 1
P1 0.0015 0.3253 0.5934 1

Arrangement b

# CeNi3P3 (GGA-PBE, relaxed)
# D(E_F) (states/eV per atom): 0.995
# Size of the total moment (μB/f.u.): 0.61
data_CeNi3P3
_cell_length_a 6.116
_cell_length_b 6.116
_cell_length_c 6.116
_cell_angle_alpha 90.00
_cell_angle_beta 90.00
_cell_angle_gamma 90.00
_space_group_name_H-M_alt 'P m -3 n'
_space_group_IT_number 223
_space_group_name_Hall '-P 4n 2 3'
loop_
_atom_site_label
_atom_site_fract_x
_atom_site_fract_y
_atom_site_fract_z
_atom_site_occupancy
Ce1 0.000 0.000 0.000 1
Ni1 0.000 0.250 0.500 1
P1 0.000 0.500 0.250 1

The most stable arrangement is arrangement a, and the next structure is 0.050 eV/atom less stable.